The following is a DFT calculation (PBE) of a relaxed structure of Ag7Pd4Au.

Computed properties:
**DOS at the Fermi energy**: 4.37 states/eV/f.u.
**Calculated formation energy**: 0.218 eV/atom
**Crystal system**: monoclinic

Cell: 5.043 9.048 5.730 Å, 83.50 63.89 73.82°
Positions (direct):
Ag 0.342 0.549 0.767
Ag 0.961 0.381 0.697
Ag 0.795 0.914 0.496
Ag 0.039 0.619 0.303
Ag 0.500 0.000 0.000
Ag 0.658 0.451 0.233
Ag 0.205 0.086 0.504
Pd 0.720 0.689 0.871
Pd 0.418 0.772 0.392
Pd 0.582 0.228 0.608
Pd 0.280 0.311 0.129
Au 0.000 0.000 0.000

The following is a DFT calculation (PBE) of a relaxed structure of Ag6Pd16Au7.

Computed properties:
**DOS at the Fermi energy**: 22.10 states/eV/f.u.
**Calculated formation energy**: 0.097 eV/atom
**Crystal system**: cubic

Cell: 9.082 9.082 9.082 Å, 60.00 60.00 60.00°
Positions (direct):
Pd 0.168 0.168 0.168
Pd 0.136 0.621 0.621
Pd 0.832 0.832 0.504
Pd 0.864 0.379 0.379
Pd 0.621 0.136 0.621
Pd 0.168 0.496 0.168
Pd 0.504 0.832 0.832
Pd 0.832 0.504 0.832
Pd 0.379 0.379 0.379
Pd 0.832 0.832 0.832
Pd 0.379 0.864 0.379
Pd 0.621 0.621 0.621
Pd 0.168 0.168 0.496
Pd 0.496 0.168 0.168
Pd 0.621 0.621 0.136
Pd 0.379 0.379 0.864
Ag 0.775 0.225 0.225
Ag 0.225 0.775 0.775
Ag 0.225 0.225 0.775
Ag 0.775 0.775 0.225
Ag 0.775 0.225 0.775
Ag 0.225 0.775 0.225
Au 0.500 0.000 0.000
Au 0.000 0.500 0.000
Au 0.000 0.000 0.500
Au 0.500 0.500 0.500
Au 0.500 0.500 0.000
Au 0.000 0.500 0.500
Au 0.500 0.000 0.500

The following is a DFT calculation (PBE) of a relaxed structure of AgPd3Au12.

Computed properties:
**DOS at the Fermi energy**: 6.99 states/eV/f.u.
**Calculated formation energy**: -0.058 eV/atom
**Crystal system**: tetragonal

Cell: 4.126 4.126 16.401 Å, 90.00 90.00 90.00°
Positions (direct):
Au 0.000 0.500 0.128
Au 0.500 0.000 0.376
Au 0.000 0.500 0.872
Au 0.500 0.000 0.872
Au 0.500 0.000 0.624
Au 0.500 0.500 0.252
Au 0.000 0.500 0.624
Au 0.500 0.000 0.128
Au 0.000 0.500 0.376
Au 0.500 0.500 0.748
Au 0.500 0.500 0.000
Au 0.500 0.500 0.500
Ag 0.000 0.000 0.000
Pd 0.000 0.000 0.748
Pd 0.000 0.000 0.500
Pd 0.000 0.000 0.252

The following is a DFT calculation (PBE) of a relaxed structure of Ag3Pd2Au4.

Computed properties:
**DOS at the Fermi energy**: 3.36 states/eV/f.u.
**Calculated formation energy**: -0.068 eV/atom
**Crystal system**: monoclinic

Cell: 4.166 6.367 6.531 Å, 107.29 108.60 90.00°
Positions (direct):
Au 0.445 0.670 0.890
Au 0.777 0.674 0.554
Au 0.223 0.326 0.446
Au 0.555 0.330 0.110
Pd 0.334 0.999 0.667
Pd 0.666 0.001 0.333
Ag 0.887 0.329 0.774
Ag 0.000 0.000 0.000
Ag 0.113 0.671 0.226

The following is a DFT calculation (PBE) of a relaxed structure of AgPd5Au.

Computed properties:
**DOS at the Fermi energy**: 12.24 states/eV/f.u.
**Calculated formation energy**: 0.785 eV/atom
**Crystal system**: orthorhombic

Cell: 5.127 8.930 6.277 Å, 135.34 114.10 90.00°
Positions (direct):
Pd 0.391 0.179 0.357
Pd 0.034 0.821 0.643
Pd 0.064 0.761 0.000
Pd 0.064 0.239 0.000
Pd 0.888 0.500 0.000
Au 0.703 0.000 0.000
Ag 0.386 0.500 0.000

The following is a DFT calculation (PBE) of a relaxed structure of Ag2Pd3Au7.

Computed properties:
**DOS at the Fermi energy**: 4.48 states/eV/f.u.
**Calculated formation energy**: -0.012 eV/atom
**Crystal system**: monoclinic

Cell: 2.821 5.336 16.746 Å, 123.22 90.00 90.00°
Positions (direct):
Au 0.000 0.394 0.837
Au 0.000 0.606 0.163
Au 0.500 0.899 0.831
Au 0.500 0.252 0.499
Au 0.500 0.748 0.501
Au 0.500 0.101 0.169
Au 0.000 0.000 0.000
Ag 0.500 0.697 0.326
Ag 0.500 0.303 0.674
Pd 0.000 0.217 0.338
Pd 0.500 0.500 0.000
Pd 0.000 0.783 0.662

The following is a DFT calculation (PBE) of a relaxed structure of Ag3Pd3Au2.

Computed properties:
**DOS at the Fermi energy**: 6.60 states/eV/f.u.
**Calculated formation energy**: -0.064 eV/atom
**Crystal system**: orthorhombic

Cell: 4.128 4.086 8.023 Å, 90.00 90.00 90.00°
Positions (direct):
Au 0.000 0.000 0.747
Au 0.000 0.000 0.253
Pd 0.500 0.000 0.500
Pd 0.000 0.500 0.000
Pd 0.000 0.500 0.500
Ag 0.500 0.000 0.000
Ag 0.500 0.500 0.747
Ag 0.500 0.500 0.253

The following is a DFT calculation (PBE) of a relaxed structure of Ag5PdAu6.

Computed properties:
**DOS at the Fermi energy**: 2.92 states/eV/f.u.
**Calculated formation energy**: -0.048 eV/atom
**Crystal system**: monoclinic

Cell: 5.085 9.702 6.531 Å, 42.03 82.49 79.87°
Positions (direct):
Ag 0.000 0.669 0.663
Ag 0.500 0.166 0.669
Ag 0.500 0.834 0.331
Ag 0.500 0.500 0.000
Ag 0.000 0.331 0.337
Au 0.750 0.082 0.331
Au 0.750 0.414 0.669
Au 0.250 0.586 0.331
Au 0.250 0.918 0.669
Au 0.755 0.751 0.000
Au 0.245 0.249 0.000
Pd 0.000 0.000 0.000